(1)
Sc2Tl2Mo (PBE, relaxed); energy of formation from the pure elements = 0.2323 eV/atom
1.0
7.549 0.000 0.000
0.000 7.549 0.000
0.000 0.000 3.901
Sc Tl Mo
4 4 2
Cartesian
1.290 5.065 1.951 Sc
5.065 6.259 1.951 Sc
6.259 2.484 1.951 Sc
2.484 1.290 1.951 Sc
2.730 6.505 0.000 Tl
6.505 4.819 0.000 Tl
4.819 1.044 0.000 Tl
1.044 2.730 0.000 Tl
0.000 0.000 0.000 Mo
3.775 3.775 0.000 Mo



(2)
Sc2TlMo2 (PBE, relaxed); energy of formation from the pure elements = 0.1530 eV/atom
1.0
7.223 0.000 0.000
0.000 7.223 0.000
0.000 0.000 3.987
Sc Tl Mo
4 2 4
Cartesian
1.251 4.862 1.994 Sc
4.862 5.972 1.994 Sc
5.972 2.360 1.994 Sc
2.360 1.251 1.994 Sc
0.000 0.000 0.000 Tl
3.611 3.611 0.000 Tl
2.791 6.402 0.000 Mo
6.402 4.432 0.000 Mo
4.432 0.821 0.000 Mo
0.821 2.791 0.000 Mo



(3)
ScTl4Mo (PBE, relaxed); energy of formation from the pure elements = 0.7751 eV/atom
1.0
0.380 -5.010 3.398
-4.732 -1.745 3.370
-3.154 -4.950 -1.532
Sc Tl Mo
1 4 1
Cartesian
0.000 0.000 0.000 Sc
-2.627 -6.892 3.660 Tl
-4.390 -6.862 1.201 Tl
-5.178 -5.263 3.646 Tl
-2.817 -4.392 1.965 Tl
-5.630 -8.778 3.927 Mo



(4)
Tm2ScMo (PBE, relaxed); energy of formation from the pure elements = 0.6321 eV/atom
1.0
-0.411 2.046 2.383
1.422 -0.507 2.785
9.084 6.255 -1.698
Sc Mo Tm
1 1 2
Cartesian
5.047 3.897 1.735 Sc
0.000 0.000 0.000 Mo
6.885 4.812 -0.838 Tm
3.210 2.983 4.308 Tm



(5)
ScVMo3 (PBE, relaxed); energy of formation from the pure elements = 2.0228 eV/atom
1.0
4.603 0.000 0.000
0.000 4.603 0.000
0.000 0.000 4.603
Sc Mo V
1 3 1
Cartesian
0.000 0.000 0.000 Sc
0.000 2.301 0.000 Mo
0.000 0.000 2.301 Mo
2.301 0.000 0.000 Mo
2.301 2.301 2.301 V



(6)
ScV2Mo2 (PBE, relaxed); energy of formation from the pure elements = 0.2531 eV/atom
1.0
-0.231 -0.623 7.330
2.674 -6.839 -0.497
2.837 1.096 0.182
Sc Mo V
2 4 4
Cartesian
0.000 0.000 0.000 Sc
1.222 -3.731 3.416 Sc
3.129 -4.011 0.886 Mo
3.534 -5.653 4.454 Mo
2.152 -2.355 6.129 Mo
1.747 -0.712 2.561 Mo
2.221 -6.119 2.224 V
1.508 -4.901 6.000 V
0.222 -1.342 4.609 V
0.936 -2.561 0.833 V



(7)
Sc2V2Mo (PBE, relaxed); energy of formation from the pure elements = 0.6581 eV/atom
1.0
-1.569 0.025 -3.470
-3.318 -1.124 1.492
-4.085 5.338 -0.204
Sc Mo V
2 1 2
Cartesian
-4.049 2.407 -2.331 Sc
-4.924 1.832 0.150 Sc
0.000 0.000 0.000 Mo
-2.702 0.377 -0.865 V
-6.271 3.862 -1.316 V



(8)
ScVMo3 (PBE, relaxed); energy of formation from the pure elements = 0.9258 eV/atom
1.0
4.573 0.000 0.000
0.000 4.573 0.000
0.000 0.000 4.573
Sc Mo V
1 3 1
Cartesian
2.286 2.286 2.286 Sc
0.000 2.286 0.000 Mo
0.000 0.000 2.286 Mo
2.286 0.000 0.000 Mo
0.000 0.000 0.000 V



The highest energy of formation from the pure elements belongs to which entry?
number 5



Which value of energy of formation from the pure elements does entry 2 give?
0.1530 eV/atom



Among the records above, which one has the highest energy of formation from the pure elements?
number 5